Below is a PBEsol-optimized structure of TlCd2In, with properties calculated at the SCAN level.

Results
Crystal system: trigonal
Energy above the most stable polymorph in this dataset, kJ/mol of formula units: 10
DOS at the Fermi energy, states/eV/atom: 0.37

Cell: 3.198 3.198 10.949 Å, 81.60 81.60 60.00°
Atoms (fractional coordinates):
In  0.500  0.500  0.500
Cd  0.248  0.248  0.256
Cd  0.752  0.752  0.744
Tl  0.000  0.000  0.000

---

Below is a PBEsol-optimized structure of TlCdIn2, with properties calculated at the SCAN level.

Results
Crystal system: cubic
Uncorrected energy, eV/atom: -42.29
DOS at the Fermi energy, states/eV/atom: 0.34

Cell: 5.228 5.228 5.228 Å, 60.00 60.00 60.00°
Atoms (fractional coordinates):
In  0.750  0.750  0.750
Tl  0.250  0.250  0.250
Cd  0.500  0.500  0.500
In  0.000  0.000  0.000

---

Below is a PBEsol-optimized structure of TlCdIn2, with properties calculated at the SCAN level.

Results
Crystal system: orthorhombic
Uncorrected energy, eV/atom: -42.29
DOS at the Fermi energy, states/eV/atom: 0.45

Cell: 3.608 5.288 5.294 Å, 90.00 90.00 90.00°
Atoms (fractional coordinates):
In  0.000  0.000  0.000
Tl  0.500  0.000  0.500
Cd  0.000  0.500  0.500
In  0.500  0.500  0.000